Entry 1:
VASP calculation (PBE) on a geometry-optimized MgMoH2Cl structure.

Structure (CIF):
```
data_MgMoH2Cl
_symmetry_space_group_name_H-M 'P 1'
_symmetry_Int_Tables_number 1
_cell_length_a 3.668
_cell_length_b 3.668
_cell_length_c 4.843
_cell_angle_alpha 90.00
_cell_angle_beta 90.00
_cell_angle_gamma 90.00
loop_
_symmetry_equiv_pos_as_xyz
'x,y,z'
loop_
_atom_site_label
_atom_site_fract_x
_atom_site_fract_y
_atom_site_fract_z
_atom_site_occupancy
Mg1 0.000 0.000 0.000 1
Mo1 0.500 0.500 0.500 1
H1 0.000 0.500 0.500 1
H2 0.500 0.000 0.500 1
Cl1 0.500 0.500 0.000 1
```

Summary:
Crystal system: tetragonal
Total magnetic moment, Bohr magnetons per cell: 0.0
Total energy, eV per formula unit: -19.7
ρ, Mg/m³: 4.0

=====

Entry 2:
VASP calculation (PBE) on a geometry-optimized Mg2NiHCl structure.

Structure (CIF):
```
data_Mg2NiHCl
_symmetry_space_group_name_H-M 'P 1'
_symmetry_Int_Tables_number 1
_cell_length_a 5.149
_cell_length_b 5.149
_cell_length_c 4.100
_cell_angle_alpha 90.00
_cell_angle_beta 90.00
_cell_angle_gamma 90.00
loop_
_symmetry_equiv_pos_as_xyz
'x,y,z'
loop_
_atom_site_label
_atom_site_fract_x
_atom_site_fract_y
_atom_site_fract_z
_atom_site_occupancy
Mg1 0.000 0.500 0.000 1
Mg2 0.500 0.000 0.000 1
Ni1 0.000 0.000 0.500 1
H1 0.500 0.500 0.500 1
Cl1 0.000 0.000 0.000 1
```

Summary:
Crystal system: tetragonal
Total magnetic moment, Bohr magnetons per cell: 0.0
Total energy, eV per formula unit: -10.9
ρ, Mg/m³: 2.2

=====

Entry 3:
VASP calculation (PBE) on a geometry-optimized MgHClO structure.

Structure (CIF):
```
data_MgHClO
_symmetry_space_group_name_H-M 'P 1'
_symmetry_Int_Tables_number 1
_cell_length_a 3.401
_cell_length_b 3.401
_cell_length_c 15.946
_cell_angle_alpha 90.00
_cell_angle_beta 90.00
_cell_angle_gamma 120.00
loop_
_symmetry_equiv_pos_as_xyz
'x,y,z'
loop_
_atom_site_label
_atom_site_fract_x
_atom_site_fract_y
_atom_site_fract_z
_atom_site_occupancy
Mg1 0.000 0.000 0.000 1
Mg2 0.333 0.667 0.667 1
Mg3 0.667 0.333 0.333 1
H1 0.000 0.000 0.778 1
H2 0.333 0.667 0.444 1
H3 0.667 0.333 0.111 1
Cl1 0.000 0.000 0.230 1
Cl2 0.333 0.667 0.897 1
Cl3 0.667 0.333 0.564 1
O1 0.000 0.000 0.716 1
O2 0.333 0.667 0.383 1
O3 0.667 0.333 0.050 1
```

Summary:
Crystal system: trigonal
Total magnetic moment, Bohr magnetons per cell: 0.0
Total energy, eV per formula unit: -19.0
ρ, Mg/m³: 2.4

=====

Entry 4:
VASP calculation (PBE) on a geometry-optimized MgH2Cl2O structure.

Structure (CIF):
```
data_MgH2Cl2O
_symmetry_space_group_name_H-M 'P 1'
_symmetry_Int_Tables_number 1
_cell_length_a 7.308
_cell_length_b 7.308
_cell_length_c 5.386
_cell_angle_alpha 90.00
_cell_angle_beta 90.00
_cell_angle_gamma 51.68
loop_
_symmetry_equiv_pos_as_xyz
'x,y,z'
loop_
_atom_site_label
_atom_site_fract_x
_atom_site_fract_y
_atom_site_fract_z
_atom_site_occupancy
Mg1 0.179 0.821 0.500 1
Mg2 0.821 0.179 0.000 1
H1 0.150 0.729 0.020 1
H2 0.271 0.850 0.020 1
H3 0.729 0.150 0.520 1
H4 0.850 0.271 0.520 1
Cl1 0.141 0.579 0.727 1
Cl2 0.421 0.859 0.727 1
Cl3 0.579 0.141 0.227 1
Cl4 0.859 0.421 0.227 1
O1 0.150 0.850 0.121 1
O2 0.850 0.150 0.621 1
```

Summary:
Crystal system: orthorhombic
Total magnetic moment, Bohr magnetons per cell: 0.0
ρ, Mg/m³: 1.7
Excess energy over the best structure of this formula in the dataset, meV/atom: 141

=====

Entry 5:
VASP calculation (PBE) on a geometry-optimized MgH2Cl2O structure.

Structure (CIF):
```
data_MgH2Cl2O
_symmetry_space_group_name_H-M 'P 1'
_symmetry_Int_Tables_number 1
_cell_length_a 8.963
_cell_length_b 3.682
_cell_length_c 11.558
_cell_angle_alpha 90.00
_cell_angle_beta 90.00
_cell_angle_gamma 90.00
loop_
_symmetry_equiv_pos_as_xyz
'x,y,z'
loop_
_atom_site_label
_atom_site_fract_x
_atom_site_fract_y
_atom_site_fract_z
_atom_site_occupancy
Mg1 0.186 0.250 0.015 1
Mg2 0.314 0.750 0.515 1
Mg3 0.686 0.250 0.485 1
Mg4 0.814 0.750 0.985 1
H1 0.051 0.750 0.636 1
H2 0.187 0.750 0.726 1
H3 0.313 0.250 0.226 1
H4 0.449 0.250 0.136 1
H5 0.551 0.750 0.864 1
H6 0.687 0.750 0.774 1
H7 0.813 0.250 0.274 1
H8 0.949 0.250 0.364 1
Cl1 0.040 0.750 0.120 1
Cl2 0.194 0.250 0.400 1
Cl3 0.306 0.750 0.900 1
Cl4 0.460 0.250 0.620 1
Cl5 0.540 0.750 0.380 1
Cl6 0.694 0.250 0.100 1
Cl7 0.806 0.750 0.600 1
Cl8 0.960 0.250 0.880 1
O1 0.160 0.750 0.643 1
O2 0.340 0.250 0.143 1
O3 0.660 0.750 0.857 1
O4 0.840 0.250 0.357 1
```

Summary:
Crystal system: orthorhombic
Total magnetic moment, Bohr magnetons per cell: 0.0
ρ, Mg/m³: 2.0
Excess energy over the best structure of this formula in the dataset, meV/atom: 0

=====

Entry 6:
VASP calculation (PBE) on a geometry-optimized MgH4Cl2O2 structure.

Structure (CIF):
```
data_MgH4Cl2O2
_symmetry_space_group_name_H-M 'P 1'
_symmetry_Int_Tables_number 1
_cell_length_a 5.847
_cell_length_b 5.847
_cell_length_c 3.704
_cell_angle_alpha 100.36
_cell_angle_beta 100.36
_cell_angle_gamma 92.99
loop_
_symmetry_equiv_pos_as_xyz
'x,y,z'
loop_
_atom_site_label
_atom_site_fract_x
_atom_site_fract_y
_atom_site_fract_z
_atom_site_occupancy
Mg1 0.000 0.000 0.000 1
H1 0.219 0.599 0.853 1
H2 0.401 0.781 0.147 1
H3 0.599 0.219 0.853 1
H4 0.781 0.401 0.147 1
Cl1 0.227 0.227 0.615 1
Cl2 0.773 0.773 0.385 1
O1 0.241 0.759 0.000 1
O2 0.759 0.241 0.000 1
```

Summary:
Crystal system: monoclinic
Total magnetic moment, Bohr magnetons per cell: 0.0
Total energy, eV per formula unit: -40.8
ρ, Mg/m³: 1.8

=====

Entry 7:
VASP calculation (PBE) on a geometry-optimized MgH16Cl2O8 structure.

Structure (CIF):
```
data_MgH16Cl2O8
_symmetry_space_group_name_H-M 'P 1'
_symmetry_Int_Tables_number 1
_cell_length_a 6.820
_cell_length_b 13.809
_cell_length_c 11.751
_cell_angle_alpha 90.00
_cell_angle_beta 90.00
_cell_angle_gamma 90.00
loop_
_symmetry_equiv_pos_as_xyz
'x,y,z'
loop_
_atom_site_label
_atom_site_fract_x
_atom_site_fract_y
_atom_site_fract_z
_atom_site_occupancy
Mg1 0.000 0.000 0.000 1
Mg2 0.000 0.500 0.500 1
Mg3 0.500 0.000 0.500 1
Mg4 0.500 0.500 0.000 1
H1 0.004 0.082 0.217 1
H2 0.004 0.418 0.717 1
H3 0.016 0.031 0.770 1
H4 0.016 0.469 0.270 1
H5 0.022 0.185 0.721 1
H6 0.022 0.315 0.221 1
H7 0.094 0.689 0.555 1
H8 0.094 0.811 0.055 1
H9 0.143 0.124 0.629 1
H10 0.143 0.376 0.129 1
H11 0.162 0.596 0.921 1
H12 0.162 0.904 0.421 1
H13 0.177 0.611 0.054 1
H14 0.177 0.889 0.554 1
H15 0.249 0.656 0.461 1
H16 0.249 0.844 0.961 1
H17 0.251 0.156 0.461 1
H18 0.251 0.344 0.961 1
H19 0.323 0.111 0.054 1
H20 0.323 0.389 0.554 1
H21 0.338 0.096 0.921 1
H22 0.338 0.404 0.421 1
H23 0.357 0.624 0.629 1
H24 0.357 0.876 0.129 1
H25 0.406 0.189 0.555 1
H26 0.406 0.311 0.055 1
H27 0.478 0.685 0.721 1
H28 0.478 0.815 0.221 1
H29 0.484 0.531 0.770 1
H30 0.484 0.969 0.270 1
H31 0.496 0.582 0.217 1
H32 0.496 0.918 0.717 1
H33 0.504 0.082 0.283 1
H34 0.504 0.418 0.783 1
H35 0.516 0.031 0.730 1
H36 0.516 0.469 0.230 1
H37 0.522 0.185 0.779 1
H38 0.522 0.315 0.279 1
H39 0.594 0.689 0.945 1
H40 0.594 0.811 0.445 1
H41 0.643 0.124 0.871 1
H42 0.643 0.376 0.371 1
H43 0.662 0.596 0.579 1
H44 0.662 0.904 0.079 1
H45 0.677 0.611 0.446 1
H46 0.677 0.889 0.946 1
H47 0.749 0.656 0.039 1
H48 0.749 0.844 0.539 1
H49 0.751 0.156 0.039 1
H50 0.751 0.344 0.539 1
H51 0.823 0.111 0.446 1
H52 0.823 0.389 0.946 1
H53 0.838 0.096 0.579 1
H54 0.838 0.404 0.079 1
H55 0.857 0.624 0.871 1
H56 0.857 0.876 0.371 1
H57 0.906 0.189 0.945 1
H58 0.906 0.311 0.445 1
H59 0.978 0.685 0.779 1
H60 0.978 0.815 0.279 1
H61 0.984 0.531 0.730 1
H62 0.984 0.969 0.230 1
H63 0.996 0.582 0.283 1
H64 0.996 0.918 0.783 1
Cl1 0.029 0.198 0.343 1
Cl2 0.029 0.302 0.843 1
Cl3 0.471 0.698 0.343 1
Cl4 0.471 0.802 0.843 1
Cl5 0.529 0.198 0.157 1
Cl6 0.529 0.302 0.657 1
Cl7 0.971 0.698 0.157 1
Cl8 0.971 0.802 0.657 1
O1 0.006 0.522 0.327 1
O2 0.006 0.978 0.827 1
O3 0.022 0.123 0.677 1
O4 0.022 0.377 0.177 1
O5 0.167 0.632 0.526 1
O6 0.167 0.868 0.026 1
O7 0.244 0.580 0.989 1
O8 0.244 0.920 0.489 1
O9 0.256 0.080 0.989 1
O10 0.256 0.420 0.489 1
O11 0.333 0.132 0.526 1
O12 0.333 0.368 0.026 1
O13 0.478 0.623 0.677 1
O14 0.478 0.877 0.177 1
O15 0.494 0.022 0.327 1
O16 0.494 0.478 0.827 1
O17 0.506 0.522 0.173 1
O18 0.506 0.978 0.673 1
O19 0.522 0.123 0.823 1
O20 0.522 0.377 0.323 1
O21 0.667 0.632 0.974 1
O22 0.667 0.868 0.474 1
O23 0.744 0.580 0.511 1
O24 0.744 0.920 0.011 1
O25 0.756 0.080 0.511 1
O26 0.756 0.420 0.011 1
O27 0.833 0.132 0.974 1
O28 0.833 0.368 0.474 1
O29 0.978 0.623 0.823 1
O30 0.978 0.877 0.323 1
O31 0.994 0.022 0.173 1
O32 0.994 0.478 0.673 1
```

Summary:
Crystal system: orthorhombic
Total magnetic moment, Bohr magnetons per cell: 0.4
Total energy, eV per formula unit: -130.4
ρ, Mg/m³: 1.4

=====

Entry 8:
VASP calculation (PBE) on a geometry-optimized RbMgH12Cl3O6 structure.

Structure (CIF):
```
data_RbMgH12Cl3O6
_symmetry_space_group_name_H-M 'P 1'
_symmetry_Int_Tables_number 1
_cell_length_a 6.633
_cell_length_b 6.761
_cell_length_c 13.562
_cell_angle_alpha 90.01
_cell_angle_beta 91.75
_cell_angle_gamma 91.01
loop_
_symmetry_equiv_pos_as_xyz
'x,y,z'
loop_
_atom_site_label
_atom_site_fract_x
_atom_site_fract_y
_atom_site_fract_z
_atom_site_occupancy
Rb1 0.000 0.000 0.000 1
Rb2 0.000 0.004 0.494 1
Mg1 0.492 0.493 0.248 1
Mg2 0.505 0.490 0.747 1
H1 0.083 0.473 0.771 1
H2 0.147 0.720 0.271 1
H3 0.149 0.549 0.350 1
H4 0.166 0.260 0.770 1
H5 0.243 0.445 0.077 1
H6 0.283 0.837 0.724 1
H7 0.290 0.142 0.278 1
H8 0.328 0.443 0.567 1
H9 0.429 0.300 0.071 1
H10 0.445 0.833 0.642 1
H11 0.451 0.148 0.366 1
H12 0.482 0.268 0.573 1
H13 0.533 0.723 0.915 1
H14 0.536 0.833 0.127 1
H15 0.554 0.149 0.852 1
H16 0.559 0.694 0.423 1
H17 0.693 0.841 0.217 1
H18 0.694 0.554 0.927 1
H19 0.716 0.141 0.770 1
H20 0.741 0.546 0.418 1
H21 0.832 0.263 0.226 1
H22 0.835 0.439 0.149 1
H23 0.855 0.703 0.722 1
H24 0.858 0.540 0.640 1
Cl1 0.019 0.498 0.502 1
Cl2 0.494 0.008 0.990 1
Cl3 0.505 0.980 0.504 1
Cl4 0.960 0.506 0.012 1
Cl5 0.991 0.991 0.249 1
Cl6 0.998 0.983 0.746 1
O1 0.209 0.399 0.781 1
O2 0.216 0.598 0.291 1
O3 0.371 0.404 0.111 1
O4 0.403 0.766 0.703 1
O5 0.408 0.217 0.306 1
O6 0.456 0.401 0.600 1
O7 0.569 0.773 0.192 1
O8 0.576 0.598 0.886 1
O9 0.594 0.210 0.789 1
O10 0.614 0.585 0.384 1
O11 0.770 0.391 0.210 1
O12 0.813 0.564 0.708 1
```

Summary:
Crystal system: triclinic
Total magnetic moment, Bohr magnetons per cell: 0.1
Total energy, eV per formula unit: -107.3
ρ, Mg/m³: 1.8

=====

Entry 9:
VASP calculation (PBE) on a geometry-optimized Mg2HOsCl structure.

Structure (CIF):
```
data_Mg2HOsCl
_symmetry_space_group_name_H-M 'P 1'
_symmetry_Int_Tables_number 1
_cell_length_a 5.185
_cell_length_b 5.185
_cell_length_c 3.302
_cell_angle_alpha 90.00
_cell_angle_beta 90.00
_cell_angle_gamma 90.00
loop_
_symmetry_equiv_pos_as_xyz
'x,y,z'
loop_
_atom_site_label
_atom_site_fract_x
_atom_site_fract_y
_atom_site_fract_z
_atom_site_occupancy
Mg1 0.000 0.500 0.000 1
Mg2 0.500 0.000 0.000 1
H1 0.000 0.000 0.500 1
Os1 0.000 0.000 0.000 1
Cl1 0.500 0.500 0.500 1
```

Summary:
Crystal system: tetragonal
Total magnetic moment, Bohr magnetons per cell: 0.2
Total energy, eV per formula unit: -18.7
ρ, Mg/m³: 5.2

=====

Look up the ρ of the first one.
4.0 Mg/m³